A plane-wave DFT calculation with PBE with a Hubbard U was carried out for a relaxed structure of CePaCo2O8.

a b c (Å): 5.990 5.990 5.990
angles (deg): 107.63 107.63 113.22
Element x y z (fractional)
Ce1 0.000 0.000 0.000
Pa1 0.250 0.750 0.500
Co1 0.500 0.500 0.000
Co2 0.750 0.250 0.500
O1 0.309 0.115 0.806
O2 0.309 0.503 0.194
O3 0.381 0.064 0.317
O4 0.497 0.691 0.806
O5 0.748 0.064 0.683
O6 0.885 0.691 0.194
O7 0.936 0.252 0.317
O8 0.936 0.619 0.683

- Calculated volume: 164.9 Å³ per cell
- Uncorrected energy: -0.28105 hartree per atom